9
Lattice="4.0991 0.0000 0.0000 0.0000 6.7990 0.0000 0.0000 -3.3995 5.8881" Properties=species:S:1:pos:R:3 comment="GGA-PBE TmRuRh, optimized geometry" total_magnetization_mub_per_atom=0.0000 final_energy_ev_per_atom=-7.421 pbc="T T T"
Ru 2.0495 5.1580 0.0000
Ru 2.0495 0.8205 1.4212
Ru 2.0495 -2.5790 4.4670
Tm 0.0000 2.7525 0.0000
Tm 0.0000 -1.3762 2.3837
Tm 0.0000 2.0233 3.5044
Rh 2.0495 0.0000 3.9254
Rh 0.0000 0.0000 0.0000
Rh 2.0495 3.3995 1.9627